[1]
Below is a geometry-optimized YErPBr2 structure, with properties calculated at the PBE level.

```
5
Lattice="3.984 0.000 0.000 -1.992 3.450 0.000 0.000 0.000 10.791" Properties=species:S:1:pos:R:3 pbc="T T T"
Y 0.000 0.000 0.000
Er 1.992 1.150 7.771
P 0.000 2.300 9.253
Br 0.000 0.000 5.965
Br 1.992 1.150 1.839
```

Summary:
total moment: 0.01 μB/f.u.
space group: No. 156

=====

[2]
Below is a geometry-optimized BaTl2Ag structure, with properties calculated at the PBE level.

```
4
Lattice="0.000 3.905 3.905 3.905 0.000 3.905 3.905 3.905 0.000" Properties=species:S:1:pos:R:3 pbc="T T T"
Ba 0.000 0.000 0.000
Tl 3.905 3.905 3.905
Tl 5.858 5.858 5.858
Ag 1.953 1.953 1.953
```

Summary:
space group: No. 216

=====

[3]
Below is a geometry-optimized ZrCuPbAu structure, with properties calculated at the PBE level.

```
4
Lattice="0.000 3.411 3.411 3.411 0.000 3.411 3.411 3.411 0.000" Properties=species:S:1:pos:R:3 pbc="T T T"
Zr 0.000 0.000 0.000
Cu 3.411 3.411 3.411
Pb 5.116 5.116 5.116
Au 1.705 1.705 1.705
```

Summary:
total moment: 0.00 μB/f.u.
space group: No. 216
distance to the lowest polymorph of the same formula: 0.000 eV/atom

=====

[4]
Below is a geometry-optimized FeAgBiW structure, with properties calculated at the PBE level.

```
4
Lattice="0.000 3.288 3.288 3.288 0.000 3.288 3.288 3.288 0.000" Properties=species:S:1:pos:R:3 pbc="T T T"
Fe 0.000 0.000 0.000
Ag 1.644 1.644 1.644
Bi 4.932 4.932 4.932
W 3.288 3.288 3.288
```

Summary:
total moment: 2.48 μB/f.u.
space group: No. 216
distance to the lowest polymorph of the same formula: 0.000 eV/atom

=====

Number 1: E_tot -5.73 eV per atom. Number 2: E_tot -2.56 eV per atom. Number 3: E_tot -4.85 eV per atom. Number 4: E_tot -6.07 eV per atom.